Record 1
The following is a GGA-PBE calculation of MgCoAgMo after structural relaxation, from the Open Quantum Materials Database.

Cell lengths 6.173, 6.173, 6.173 Å; angles 90.00, 90.00, 90.00 degrees
Space group F-43m (No. 216)
One atom of each set of equivalent atoms:
Mg: 0.000 0.000 0.000 (multiplicity 4)
Co: 0.000 0.000 0.500 (multiplicity 4)
Ag: 0.250 0.250 0.250 (multiplicity 4)
Mo: 0.250 0.250 0.750 (multiplicity 4)

## Properties
energy above the most stable polymorph in this dataset	0.0	meV per atom

---

Record 2
The following is a GGA-PBE calculation of Cu9Ag after structural relaxation, from the Open Quantum Materials Database.

Cell lengths 4.493, 4.499, 6.858 Å; angles 102.57, 108.63, 99.65 degrees
Space group P-1 (No. 2)
One atom of each set of equivalent atoms:
Cu: 0.000 0.000 0.000 (multiplicity 1)
Cu: 0.204 0.597 0.193 (multiplicity 2)
Cu: 0.207 0.107 0.710 (multiplicity 2)
Cu: 0.393 0.182 0.394 (multiplicity 2)
Cu: 0.407 0.705 0.906 (multiplicity 2)
Ag: 0.000 0.500 0.500 (multiplicity 1)

## Properties
energy above the most stable polymorph in this dataset	6.2	meV per atom

---

Record 3
The following is a GGA-PBE calculation of SnOsPb2 after structural relaxation, from the Open Quantum Materials Database.

Cell lengths 7.164, 7.164, 7.164 Å; angles 90.00, 90.00, 90.00 degrees
Space group F-43m (No. 216)
One atom of each set of equivalent atoms:
Sn: 0.000 0.000 0.000 (multiplicity 4)
Os: 0.250 0.250 0.250 (multiplicity 4)
Pb: 0.000 0.000 0.500 (multiplicity 4)
Pb: 0.250 0.250 0.750 (multiplicity 4)

## Properties
total energy	-4.90	eV/atom

---

Record 4
The following is a GGA-PBE calculation of Na3SrPr2Pb3 after structural relaxation, from the Open Quantum Materials Database.

Cell lengths 5.2528, 5.2528, 11.6914 Å; angles 90.00, 90.00, 120.00 degrees
Space group P-6m2 (No. 187)
One atom of each set of equivalent atoms:
Na: 0.0000 0.0000 0.0000 (multiplicity 1)
Na: 0.6667 0.3333 0.3088 (multiplicity 2)
Sr: 0.3333 0.6667 0.5000 (multiplicity 1)
Pr: 0.3333 0.6667 0.1648 (multiplicity 2)
Pb: 0.0000 0.0000 0.3094 (multiplicity 2)
Pb: 0.6667 0.3333 0.0000 (multiplicity 1)

## Properties
total energy	-3.23	eV/atom